# 1
# LaMoRh2 (GGA-PBE, optimized geometry)
data_LaMoRh2
_space_group_name_H-M_alt 'P 4/m m m'
_space_group_IT_number 123
_space_group_name_Hall '-P 4 2'
_cell_length_a 4.962
_cell_length_b 4.962
_cell_length_c 2.983
_cell_angle_alpha 90.00
_cell_angle_beta 90.00
_cell_angle_gamma 90.00
loop_
_atom_site_label
_atom_site_type_symbol
_atom_site_fract_x
_atom_site_fract_y
_atom_site_fract_z
La1 La 0.000 0.000 0.000
Mo1 Mo 0.500 0.500 0.000
Rh1 Rh 0.000 0.500 0.500
# magnetization = 0.005 μB/cell
# formation enthalpy at 0 K = -2 meV per atom
# polymorph energy (0 for the lowest one) = 0.1912 eV per atom
# N(E_F) = 4.16 states/eV/f.u.



# 2
# LaTa2MoRh (GGA-PBE, optimized geometry)
data_LaTa2MoRh
_space_group_name_H-M_alt 'P 4/m m m'
_space_group_IT_number 123
_space_group_name_Hall '-P 4 2'
_cell_length_a 4.896
_cell_length_b 4.896
_cell_length_c 4.894
_cell_angle_alpha 90.00
_cell_angle_beta 90.00
_cell_angle_gamma 90.00
loop_
_atom_site_label
_atom_site_type_symbol
_atom_site_fract_x
_atom_site_fract_y
_atom_site_fract_z
La1 La 0.000 0.000 0.000
Ta1 Ta 0.000 0.500 0.500
Mo1 Mo 0.500 0.500 0.000
Rh1 Rh 0.500 0.500 0.500
# magnetization = 0.002 μB/cell
# formation enthalpy at 0 K = 900 meV per atom
# N(E_F) = 8.28 states/eV/f.u.



# 3
# LaMoRh2W (GGA-PBE, optimized geometry)
data_LaMoRh2W
_space_group_name_H-M_alt 'P 4/m m m'
_space_group_IT_number 123
_space_group_name_Hall '-P 4 2'
_cell_length_a 4.695
_cell_length_b 4.695
_cell_length_c 4.908
_cell_angle_alpha 90.00
_cell_angle_beta 90.00
_cell_angle_gamma 90.00
loop_
_atom_site_label
_atom_site_type_symbol
_atom_site_fract_x
_atom_site_fract_y
_atom_site_fract_z
La1 La 0.000 0.000 0.000
Mo1 Mo 0.000 0.000 0.500
Rh1 Rh 0.000 0.500 0.000
W1 W 0.500 0.500 0.500
# magnetization = 0.000 μB/cell
# formation enthalpy at 0 K = 2176 meV per atom
# N(E_F) = 8.33 states/eV/f.u.



# 4
# LaMo2RhW (GGA-PBE, optimized geometry)
data_LaMo2RhW
_space_group_name_H-M_alt 'P 4/m m m'
_space_group_IT_number 123
_space_group_name_Hall '-P 4 2'
_cell_length_a 4.831
_cell_length_b 4.831
_cell_length_c 4.868
_cell_angle_alpha 90.00
_cell_angle_beta 90.00
_cell_angle_gamma 90.00
loop_
_atom_site_label
_atom_site_type_symbol
_atom_site_fract_x
_atom_site_fract_y
_atom_site_fract_z
La1 La 0.000 0.000 0.000
Mo1 Mo 0.000 0.500 0.500
Rh1 Rh 0.500 0.500 0.000
W1 W 0.500 0.500 0.500
# magnetization = 1.662 μB/cell
# formation enthalpy at 0 K = 881 meV per atom
# N(E_F) = 6.09 states/eV/f.u.



# 5
# LaMo2Ru (GGA-PBE, optimized geometry)
data_LaMo2Ru
_space_group_name_H-M_alt 'P m m m'
_space_group_IT_number 47
_space_group_name_Hall '-P 2 2'
_cell_length_a 2.888
_cell_length_b 3.695
_cell_length_c 7.422
_cell_angle_alpha 90.00
_cell_angle_beta 90.00
_cell_angle_gamma 90.00
loop_
_atom_site_label
_atom_site_type_symbol
_atom_site_fract_x
_atom_site_fract_y
_atom_site_fract_z
La1 La 0.000 0.000 0.000
Mo1 Mo 0.500 0.500 0.325
Ru1 Ru 0.000 0.000 0.500
# magnetization = 0.000 μB/cell
# formation enthalpy at 0 K = 418 meV per atom
# polymorph energy (0 for the lowest one) = 0.1325 eV per atom
# N(E_F) = 4.50 states/eV/f.u.



# 6
# LaMo2Ru (GGA-PBE, optimized geometry)
data_LaMo2Ru
_space_group_name_H-M_alt 'P 4 m m'
_space_group_IT_number 99
_space_group_name_Hall 'P 4 -2'
_cell_length_a 3.202
_cell_length_b 3.202
_cell_length_c 7.459
_cell_angle_alpha 90.00
_cell_angle_beta 90.00
_cell_angle_gamma 90.00
loop_
_atom_site_label
_atom_site_type_symbol
_atom_site_fract_x
_atom_site_fract_y
_atom_site_fract_z
La1 La 0.000 0.000 0.000
Mo1 Mo 0.000 0.000 0.501
Mo2 Mo 0.500 0.500 0.310
Ru1 Ru 0.500 0.500 0.700
# magnetization = 0.000 μB/cell
# formation enthalpy at 0 K = 286 meV per atom
# polymorph energy (0 for the lowest one) = 0.0000 eV per atom
# N(E_F) = 5.98 states/eV/f.u.



# 7
# LaMoRu4 (GGA-PBE, optimized geometry)
data_LaMoRu4
_space_group_name_H-M_alt 'F -4 3 m'
_space_group_IT_number 216
_space_group_name_Hall 'F -4 2 3'
_cell_length_a 7.448
_cell_length_b 7.448
_cell_length_c 7.448
_cell_angle_alpha 90.00
_cell_angle_beta 90.00
_cell_angle_gamma 90.00
loop_
_atom_site_label
_atom_site_type_symbol
_atom_site_fract_x
_atom_site_fract_y
_atom_site_fract_z
La1 La 0.000 0.000 0.000
Mo1 Mo 0.250 0.250 0.750
Ru1 Ru 0.125 0.125 0.375
# magnetization = 0.001 μB/cell
# formation enthalpy at 0 K = 293 meV per atom
# N(E_F) = 7.33 states/eV/f.u.



# 8
# LaMoRu3 (GGA-PBE, optimized geometry)
data_LaMoRu3
_space_group_name_H-M_alt 'P m -3 m'
_space_group_IT_number 221
_space_group_name_Hall '-P 4 2 3'
_cell_length_a 4.725
_cell_length_b 4.725
_cell_length_c 4.725
_cell_angle_alpha 90.00
_cell_angle_beta 90.00
_cell_angle_gamma 90.00
loop_
_atom_site_label
_atom_site_type_symbol
_atom_site_fract_x
_atom_site_fract_y
_atom_site_fract_z
La1 La 0.000 0.000 0.000
Mo1 Mo 0.500 0.500 0.500
Ru1 Ru 0.000 0.500 0.500
# magnetization = 0.000 μB/cell
# formation enthalpy at 0 K = 603 meV per atom
# polymorph energy (0 for the lowest one) = 0.0000 eV per atom
# N(E_F) = 5.17 states/eV/f.u.



# 9
# LaMo2Ru (GGA-PBE, optimized geometry)
data_LaMo2Ru
_space_group_name_H-M_alt 'I -4 2 d'
_space_group_IT_number 122
_space_group_name_Hall 'I -4 2bw'
_cell_length_a 4.819
_cell_length_b 4.819
_cell_length_c 17.428
_cell_angle_alpha 90.00
_cell_angle_beta 90.00
_cell_angle_gamma 90.00
loop_
_atom_site_label
_atom_site_type_symbol
_atom_site_fract_x
_atom_site_fract_y
_atom_site_fract_z
La1 La 0.000 0.000 0.000
Mo1 Mo 0.023 0.750 0.625
Ru1 Ru 0.000 0.000 0.500
# magnetization = 0.000 μB/cell
# formation enthalpy at 0 K = 852 meV per atom
# polymorph energy (0 for the lowest one) = 0.5667 eV per atom
# N(E_F) = 5.00 states/eV/f.u.



# 10
# LaMo2Ru (GGA-PBE, optimized geometry)
data_LaMo2Ru
_space_group_name_H-M_alt 'C 1 2/m 1'
_space_group_IT_number 12
_space_group_name_Hall '-C 2y'
_cell_length_a 10.395
_cell_length_b 3.155
_cell_length_c 5.051
_cell_angle_alpha 90.00
_cell_angle_beta 102.88
_cell_angle_gamma 90.00
loop_
_atom_site_label
_atom_site_type_symbol
_atom_site_fract_x
_atom_site_fract_y
_atom_site_fract_z
La1 La 0.000 0.000 0.000
Mo1 Mo 0.216 0.000 0.658
Ru1 Ru 0.000 0.500 0.500
# magnetization = 0.000 μB/cell
# formation enthalpy at 0 K = 361 meV per atom
# polymorph energy (0 for the lowest one) = 0.0750 eV per atom
# N(E_F) = 3.11 states/eV/f.u.



# 11
# La2MoRu2 (GGA-PBE, optimized geometry)
data_La2MoRu2
_space_group_name_H-M_alt 'P 4/m b m'
_space_group_IT_number 127
_space_group_name_Hall '-P 4 2ab'
_cell_length_a 6.754
_cell_length_b 6.754
_cell_length_c 4.828
_cell_angle_alpha 90.00
_cell_angle_beta 90.00
_cell_angle_gamma 90.00
loop_
_atom_site_label
_atom_site_type_symbol
_atom_site_fract_x
_atom_site_fract_y
_atom_site_fract_z
La1 La 0.176 0.324 0.000
Mo1 Mo 0.000 0.000 0.500
Ru1 Ru 0.150 0.650 0.500
# magnetization = 0.000 μB/cell
# formation enthalpy at 0 K = 60 meV per atom
# N(E_F) = 3.53 states/eV/f.u.



# 12
# LaMoRu3 (GGA-PBE, optimized geometry)
data_LaMoRu3
_space_group_name_H-M_alt 'P m -3 m'
_space_group_IT_number 221
_space_group_name_Hall '-P 4 2 3'
_cell_length_a 4.689
_cell_length_b 4.689
_cell_length_c 4.689
_cell_angle_alpha 90.00
_cell_angle_beta 90.00
_cell_angle_gamma 90.00
loop_
_atom_site_label
_atom_site_type_symbol
_atom_site_fract_x
_atom_site_fract_y
_atom_site_fract_z
La1 La 0.000 0.000 0.000
Mo1 Mo 0.500 0.500 0.500
Ru1 Ru 0.000 0.000 0.500
# magnetization = 0.019 μB/cell
# formation enthalpy at 0 K = 2191 meV per atom
# polymorph energy (0 for the lowest one) = 1.5884 eV per atom
# N(E_F) = 12.90 states/eV/f.u.